8
Lattice="-2.426 2.426 7.336 2.426 -2.426 7.336 2.426 2.426 -7.336" Properties=species:S:1:pos:R:3 comment="PBE-GGA KTeH2, optimized geometry" energy_ev_per_cell=-20.99 n_ef_per_ev_cell=1.95 pbc="T T T"
K 0.000 0.000 0.000
K 0.000 2.426 3.668
Te 2.426 0.000 3.668
Te 0.000 0.000 7.336
H 1.213 -0.006 5.502
H 2.420 1.213 1.834
H 1.213 2.432 -1.834
H 0.006 1.213 9.170



8
Lattice="2.692 -6.035 0.000 2.692 6.035 0.000 0.000 0.000 5.763" Properties=species:S:1:pos:R:3 comment="PBE-GGA KTeH2, optimized geometry" energy_ev_per_cell=-24.90 pbc="T T T"
K 2.692 4.435 4.322
K 2.692 -4.435 1.441
Te 2.692 0.538 4.322
Te 2.692 -0.538 1.441
H 2.692 2.798 1.063
H 2.692 2.798 1.819
H 2.692 -2.798 3.944
H 2.692 -2.798 4.700



6
Lattice="-4.694 3.154 2.871 4.694 -3.154 2.871 4.694 3.154 -2.871" Properties=species:S:1:pos:R:3 comment="PBE-GGA KTeH, optimized geometry" energy_ev_per_cell=-18.20 n_ef_per_ev_cell=0.00 pbc="T T T"
K 0.000 0.000 0.000
K 4.694 0.000 0.000
Te 2.347 2.937 -0.066
Te 2.347 0.217 2.805
H 2.347 -1.095 3.914
H 2.347 4.249 1.043



8
Lattice="-4.888 4.888 2.644 4.888 -4.888 2.644 4.888 4.888 -2.644" Properties=species:S:1:pos:R:3 comment="PBE-GGA K2TeH, optimized geometry" energy_ev_per_cell=-19.93 n_ef_per_ev_cell=1.36 pbc="T T T"
K -1.095 2.444 0.661
K 2.444 3.793 1.983
K 1.095 7.332 0.661
K -2.444 5.983 1.983
Te 4.888 0.000 1.322
Te 0.000 0.000 2.644
H 0.000 0.000 0.000
H 0.000 4.888 1.322



5
Lattice="4.497 0.000 0.000 -1.724 5.744 0.000 -1.899 -1.790 6.016" Properties=species:S:1:pos:R:3 comment="PBE-GGA KTe2H2, optimized geometry" energy_ev_per_cell=-15.01 n_ef_per_ev_cell=0.54 pbc="T T T"
K 0.000 0.000 0.000
Te -1.384 1.483 4.577
Te 2.259 2.471 1.439
H 0.166 1.418 3.927
H 0.708 2.536 2.089



4
Lattice="1.750 1.010 9.810 -1.750 1.010 9.810 0.000 -2.021 9.810" Properties=species:S:1:pos:R:3 comment="PBE-GGA KTe2H, optimized geometry" energy_ev_per_cell=-8.85 n_ef_per_ev_cell=1.64 pbc="T T T"
K 0.000 0.000 0.000
Te 0.000 0.000 3.300
Te 0.000 0.000 26.130
H 0.000 0.000 14.715



12
Lattice="-4.191 4.191 3.690 4.191 -4.191 3.690 4.191 4.191 -3.690" Properties=species:S:1:pos:R:3 comment="PBE-GGA K2TeH3, optimized geometry" energy_ev_per_cell=-33.72 n_ef_per_ev_cell=3.08 pbc="T T T"
K 6.018 1.828 0.000
K 1.828 2.363 0.000
K 2.363 1.828 3.690
K -1.828 2.363 3.690
Te 0.000 0.000 1.845
Te 0.000 0.000 5.535
H 4.191 0.000 0.780
H 4.191 0.000 1.845
H 4.191 0.000 2.910
H 0.000 4.191 0.780
H 0.000 4.191 1.845
H 0.000 4.191 2.910



9
Lattice="0.000 4.339 4.339 4.339 0.000 4.339 4.339 4.339 0.000" Properties=species:S:1:pos:R:3 comment="PBE-GGA K2TeH6, optimized geometry" energy_ev_per_cell=-23.24 pbc="T T T"
K 2.169 2.169 2.169
K 6.508 6.508 6.508
Te 0.000 0.000 0.000
H 4.339 4.339 1.993
H 4.339 1.993 4.339
H 6.684 4.339 4.339
H 1.993 4.339 4.339
H 4.339 6.684 4.339
H 4.339 4.339 6.684



20
Lattice="4.259 0.000 0.000 0.000 9.307 0.000 0.000 0.000 11.182" Properties=species:S:1:pos:R:3 comment="PBE-GGA K4TeH5, optimized geometry" energy_ev_per_cell=-48.42 n_ef_per_ev_cell=7.75 pbc="T T T"
K 1.065 0.351 2.787
K 1.065 4.302 2.787
K 1.065 6.980 5.627
K 1.065 6.980 11.151
K 3.194 2.327 0.031
K 3.194 2.327 5.555
K 3.194 5.005 8.395
K 3.194 8.955 8.395
Te 1.065 2.327 8.383
Te 3.194 6.980 2.799
H 1.065 0.878 10.089
H 1.065 0.888 6.690
H 1.065 3.765 6.690
H 1.065 3.776 10.089
H 1.065 6.980 8.388
H 3.194 2.327 2.794
H 3.194 5.531 1.093
H 3.194 5.542 4.492
H 3.194 8.418 4.492
H 3.194 8.429 1.093



4
Lattice="0.000 3.829 3.829 3.829 0.000 3.829 3.829 3.829 0.000" Properties=species:S:1:pos:R:3 comment="PBE-GGA KTe2H, optimized geometry" energy_ev_per_cell=-8.71 n_ef_per_ev_cell=2.87 pbc="T T T"
K 0.000 0.000 0.000
Te 1.915 1.915 1.915
Te 5.744 5.744 5.744
H 3.829 3.829 3.829



10
Lattice="5.855 -2.155 0.000 5.855 2.155 0.000 -4.648 0.000 11.906" Properties=species:S:1:pos:R:3 comment="PBE-GGA KTe2H2, optimized geometry" energy_ev_per_cell=-29.59 n_ef_per_ev_cell=2.27 pbc="T T T"
K 2.369 1.333 8.929
K 4.693 -1.333 2.976
Te 2.200 0.867 1.498
Te -0.124 -0.867 7.451
Te 7.186 0.867 4.455
Te 4.862 -0.867 10.408
H 0.086 0.756 6.985
H 2.410 -0.756 1.032
H 4.652 0.756 10.874
H 6.976 -0.756 4.921



16
Lattice="7.772 0.000 0.000 0.000 7.359 0.000 -2.281 0.000 10.206" Properties=species:S:1:pos:R:3 comment="PBE-GGA KTe2H, optimized geometry" energy_ev_per_cell=-48.05 pbc="T T T"
K 1.886 1.421 0.167
K 0.746 5.938 5.270
K 4.745 1.421 4.935
K 3.605 5.938 10.038
Te 1.163 3.428 2.991
Te 0.023 3.931 8.094
Te 0.731 2.068 5.585
Te 1.872 5.291 0.482
Te 3.619 2.068 9.724
Te 4.760 5.291 4.621
Te 5.468 3.428 2.112
Te 4.327 3.931 7.215
H 1.565 3.427 8.657
H 2.705 3.932 3.555
H 2.786 3.427 6.651
H 3.926 3.932 1.548



4
Lattice="0.000 4.057 4.057 4.057 0.000 4.057 4.057 4.057 0.000" Properties=species:S:1:pos:R:3 comment="PBE-GGA K2TeH, optimized geometry" energy_ev_per_cell=-9.84 n_ef_per_ev_cell=0.25 pbc="T T T"
K 2.029 2.029 2.029
K 6.086 6.086 6.086
Te 0.000 0.000 0.000
H 4.057 4.057 4.057